# DyYGaPb

An optimized crystal structure of DyYGaPb (GGA-PBE, the Alexandria database).

Lattice parameters (Å, degrees): 5.277 5.277 5.277 60.00 60.00 60.00
Sites, in units of the cell vectors:
1 Dy 0.000 0.000 0.000
2 Y 0.500 0.500 0.500
3 Ga 0.250 0.250 0.250
4 Pb 0.750 0.750 0.750

Calculated values
The size of the total moment is 0.0 μB per formula unit. The value obtained for the total DFT energy (no corrections) is -4.890 eV/atom. As for the space group: F-43m.


# Dy3Ga2Pd

An optimized crystal structure of Dy3Ga2Pd (GGA-PBE, the Alexandria database).

Lattice parameters (Å, degrees): 11.698 4.422 11.008 90.00 90.00 90.00
Sites, in units of the cell vectors:
1 Dy 0.048 0.250 0.127
2 Dy 0.123 0.750 0.567
3 Dy 0.219 0.250 0.811
4 Dy 0.281 0.750 0.311
5 Dy 0.377 0.250 0.067
6 Dy 0.452 0.750 0.627
7 Dy 0.548 0.250 0.373
8 Dy 0.623 0.750 0.933
9 Dy 0.719 0.250 0.689
10 Dy 0.781 0.750 0.189
11 Dy 0.877 0.250 0.433
12 Dy 0.952 0.750 0.873
13 Ga 0.015 0.750 0.307
14 Ga 0.188 0.750 0.018
15 Ga 0.312 0.250 0.518
16 Ga 0.485 0.250 0.807
17 Ga 0.515 0.750 0.193
18 Ga 0.688 0.750 0.482
19 Ga 0.812 0.250 0.982
20 Ga 0.985 0.250 0.693
21 Pd 0.124 0.250 0.383
22 Pd 0.376 0.750 0.883
23 Pd 0.624 0.250 0.117
24 Pd 0.876 0.750 0.617

Calculated values
The size of the total moment is 0.0 μB per formula unit. The value obtained for the total DFT energy (no corrections) is -4.844 eV/atom. As for the space group: Pnma.


# Dy3Ga4Pd

An optimized crystal structure of Dy3Ga4Pd (GGA-PBE, the Alexandria database).

Lattice parameters (Å, degrees): 9.031 9.031 9.031 157.14 140.44 46.18
Sites, in units of the cell vectors:
1 Dy 0.000 0.000 0.000
2 Dy 0.276 0.776 0.500
3 Dy 0.724 0.224 0.500
4 Ga 0.118 0.382 0.736
5 Ga 0.355 0.618 0.736
6 Ga 0.645 0.382 0.264
7 Ga 0.882 0.618 0.264
8 Pd 0.500 0.500 0.000

Calculated values
The size of the total moment is 0.0 μB per formula unit. The value obtained for the total DFT energy (no corrections) is -4.348 eV/atom. As for the space group: Immm.


# DyGa8Pd2

An optimized crystal structure of DyGa8Pd2 (GGA-PBE, the Alexandria database).

Lattice parameters (Å, degrees): 6.657 6.657 4.857 95.42 95.42 97.18
Sites, in units of the cell vectors:
1 Dy 0.000 0.000 0.000
2 Ga 0.100 0.366 0.653
3 Ga 0.308 0.692 0.000
4 Ga 0.345 0.345 0.222
5 Ga 0.366 0.100 0.653
6 Ga 0.634 0.900 0.347
7 Ga 0.655 0.655 0.778
8 Ga 0.692 0.308 0.000
9 Ga 0.900 0.634 0.347
10 Pd 0.277 0.723 0.500
11 Pd 0.723 0.277 0.500

Calculated values
The size of the total moment is 0.0 μB per formula unit. The value obtained for the total DFT energy (no corrections) is -3.889 eV/atom. As for the space group: C2/m.


Number 1: volume 25.971 A^3/atom, DOS at the Fermi energy 2.6 states/eV/f.u., formation energy -0.44 eV per atom. Number 2: volume 23.728 A^3/atom, DOS at the Fermi energy 5.3 states/eV/f.u., formation energy -0.67 eV per atom. Number 3: volume 22.720 A^3/atom, DOS at the Fermi energy 4.9 states/eV/f.u., formation energy -0.46 eV per atom. Number 4: volume 19.213 A^3/atom, DOS at the Fermi energy 4.3 states/eV/f.u., formation energy -0.32 eV per atom.